Density functional theory data (GGA-PBE) for TbY2Ga3CuGe2 after structural relaxation.

Output
Calculated density   7.0 g cm⁻³
V   178.7 Å³ per cell
Total DFT energy (no corrections)   -45.533 eV per cell

abc: 4.154 7.051 7.051
angles: 120.08 90.00 90.00
Sites, in units of the cell vectors:
Tb 0.000 0.000 0.000
Y 0.000 0.197 0.598
Y 0.000 0.598 0.197
Ga 0.500 0.364 0.364
Ga 0.500 0.598 0.832
Ga 0.500 0.832 0.598
Cu 0.000 0.598 0.598
Ge 0.500 0.265 0.932
Ge 0.500 0.932 0.265

Density functional theory data (GGA-PBE) for Cu3Ag after structural relaxation.

Output
ΔE_f   0.29 eV/f.u.
Calculated density   9.3 g cm⁻³
V   106.9 Å³ per cell
Total DFT energy (no corrections)   -27.369 eV per cell

abc: 4.648 4.648 7.521
angles: 113.19 113.19 46.74
Sites, in units of the cell vectors:
Cu 0.124 0.124 0.170
Cu 0.133 0.133 0.712
Cu 0.372 0.372 0.055
Cu 0.628 0.628 0.945
Cu 0.867 0.867 0.288
Cu 0.876 0.876 0.830
Ag 0.381 0.381 0.575
Ag 0.619 0.619 0.425

Density functional theory data (GGA-PBE) for Sm4BIBr4 after structural relaxation.

Output
Calculated density   5.6 g cm⁻³
V   316.2 Å³ per cell
Total DFT energy (no corrections)   -47.329 eV per cell

abc: 9.395 9.395 8.735
angles: 103.27 103.27 24.96
Sites, in units of the cell vectors:
Sm 0.001 0.001 0.299
Sm 0.356 0.356 0.424
Sm 0.644 0.644 0.576
Sm 0.999 0.999 0.701
B 0.500 0.500 0.500
I 0.500 0.500 0.000
Br 0.166 0.166 0.826
Br 0.171 0.171 0.343
Br 0.829 0.829 0.657
Br 0.834 0.834 0.174

Density functional theory data (GGA-PBE) for Cu3Se2S after structural relaxation.

Output
Calculated density   5.5 g cm⁻³
V   229.2 Å³ per cell
Total DFT energy (no corrections)   -46.600 eV per cell

abc: 3.935 3.935 17.154
angles: 90.00 90.00 120.37
Sites, in units of the cell vectors:
Cu 0.137 0.863 0.750
Cu 0.163 0.837 0.115
Cu 0.163 0.837 0.385
Cu 0.837 0.163 0.615
Cu 0.837 0.163 0.885
Cu 0.863 0.137 0.250
Se 0.496 0.504 0.070
Se 0.496 0.504 0.430
Se 0.504 0.496 0.570
Se 0.504 0.496 0.930
S 0.195 0.805 0.250
S 0.805 0.195 0.750

Density functional theory data (GGA-PBE) for Nd2As2IrOsO2 after structural relaxation.

Output
Calculated density   10.1 g cm⁻³
V   140.1 Å³ per cell
Total DFT energy (no corrections)   -62.797 eV per cell

abc: 4.117 4.117 8.263
angles: 90.00 90.00 90.00
Sites, in units of the cell vectors:
Nd 0.000 0.500 0.138
Nd 0.500 0.000 0.862
As 0.000 0.500 0.663
As 0.500 0.000 0.337
Ir 0.000 0.000 0.500
Os 0.500 0.500 0.500
O 0.000 0.000 0.000
O 0.500 0.500 0.000

Density functional theory data (GGA-PBE) for ZrAgGe2 after structural relaxation.

Output
Calculated density   7.4 g cm⁻³
V   77.6 Å³ per cell
Total DFT energy (no corrections)   -20.286 eV per cell

abc: 4.789 4.789 4.789
angles: 60.00 60.00 60.00
Sites, in units of the cell vectors:
Zr 0.000 0.000 0.000
Ag 0.750 0.750 0.750
Ge 0.250 0.250 0.250
Ge 0.500 0.500 0.500

Density functional theory data (GGA-PBE) for Y2SnPd2 after structural relaxation.

Output
Calculated density   6.8 g cm⁻³
V   123.6 Å³ per cell
Total DFT energy (no corrections)   -29.749 eV per cell

abc: 6.433 6.433 6.433
angles: 136.70 136.70 62.89
Sites, in units of the cell vectors:
Y 0.250 0.750 0.500
Y 0.750 0.250 0.500
Sn 0.000 0.000 0.000
Pd 0.386 0.386 0.000
Pd 0.614 0.614 0.000

Density functional theory data (GGA-PBE) for Pm2Cd2O5 after structural relaxation.

Output
Calculated density   7.6 g cm⁻³
Relative energy among the computed polymorphs   0.068 eV per atom
V   130.6 Å³ per cell
Total DFT energy (no corrections)   -51.785 eV per cell

abc: 4.232 4.232 7.293
angles: 90.00 90.00 90.00
Sites, in units of the cell vectors:
Pm 0.000 0.000 0.000
Pm 0.000 0.000 0.500
Cd 0.500 0.500 0.207
Cd 0.500 0.500 0.793
O 0.000 0.500 0.202
O 0.000 0.500 0.798
O 0.500 0.000 0.202
O 0.500 0.000 0.798
O 0.500 0.500 0.500